Density functional theory data (PBE) for Ce2BeCu4Ge3 after structural relaxation.

Lattice parameters (Å, degrees): 4.1210 4.1210 9.8955 90.00 90.00 90.00
Positions (direct):
Ge: 0.5000 0.0000 0.8614
Ge: 0.0000 0.5000 0.1386
Ge: 0.0000 0.0000 0.5000
Cu: 0.5000 0.0000 0.6198
Cu: 0.0000 0.0000 0.0000
Cu: 0.5000 0.5000 0.0000
Cu: 0.0000 0.5000 0.3802
Ce: 0.5000 0.0000 0.2534
Ce: 0.0000 0.5000 0.7466
Be: 0.5000 0.5000 0.5000

Properties
The space group is No. 115.



Density functional theory data (PBE) for BaCaCo2Cl8 after structural relaxation.

Lattice parameters (Å, degrees): 7.2172 7.2172 8.7498 90.00 90.00 120.00
Positions (direct):
Cl: 0.1615 0.3229 0.7870
Cl: 0.6667 0.3333 0.5481
Cl: 0.6771 0.8385 0.7870
Cl: 0.8385 0.1615 0.2130
Cl: 0.3229 0.1615 0.2130
Cl: 0.8385 0.6771 0.2130
Cl: 0.1615 0.8385 0.7870
Cl: 0.3333 0.6667 0.4519
Ba: 0.0000 0.0000 0.5000
Ca: 0.0000 0.0000 0.0000
Co: 0.3333 0.6667 0.7029
Co: 0.6667 0.3333 0.2971

Properties
The value obtained for the formation energy without anion corrections is -1.435 eV per atom. The space group is No. 164.



Density functional theory data (PBE) for KLi4In8 after structural relaxation.

Lattice parameters (Å, degrees): 5.8669 7.8067 7.8067 81.88 67.93 67.93
Positions (direct):
Li: 0.0000 0.5000 0.0000
Li: 0.5000 0.5000 0.0000
Li: 0.0000 0.0000 0.5000
Li: 0.5000 0.0000 0.5000
In: 0.5000 0.7774 0.2226
In: 0.6516 0.3484 0.3484
In: 0.7226 0.7774 0.7774
In: 0.2774 0.2226 0.2226
In: 0.0000 0.3484 0.6516
In: 0.0000 0.6516 0.3484
In: 0.5000 0.2226 0.7774
In: 0.3484 0.6516 0.6516
K: 0.0000 0.0000 0.0000

Properties
The space group is No. 139.



Density functional theory data (PBE) for BaCuSn after structural relaxation.

Lattice parameters (Å, degrees): 5.1707 4.5379 4.5379 120.00 90.00 90.00
Positions (direct):
Sn: 0.1653 0.3333 0.6667
Cu: 0.1693 0.0000 0.0000
Ba: 0.6655 0.6667 0.3333

Properties
The space group is No. 156.



Density functional theory data (PBE) for Pm6Ge2PtBr3 after structural relaxation.

Lattice parameters (Å, degrees): 4.2074 8.8647 9.7012 103.54 102.52 90.00
Positions (direct):
Br: 0.8291 0.1668 0.6583
Br: 0.5000 0.5000 0.0000
Br: 0.1709 0.8332 0.3417
Pt: 0.5000 0.0000 0.0000
Ge: 0.8338 0.6633 0.6677
Ge: 0.1662 0.3367 0.3323
Pm: 0.0067 0.2205 0.0134
Pm: 0.3251 0.4337 0.6503
Pm: 0.6749 0.5663 0.3497
Pm: 0.3414 0.8953 0.6827
Pm: 0.9933 0.7795 0.9866
Pm: 0.6586 0.1047 0.3173

Properties
The value obtained for the formation energy without anion corrections is -1.155 eV per atom. The space group is No. 12.



Density functional theory data (PBE) for K10Rb6Pb after structural relaxation.

Lattice parameters (Å, degrees): 8.6741 13.0804 13.0804 120.00 90.00 90.00
Positions (direct):
K: 0.0000 0.3333 0.6667
K: 0.2571 0.2214 0.2214
K: 0.2571 0.7786 0.0000
K: 0.0000 0.6667 0.3333
K: 0.5000 0.3333 0.6667
K: 0.7429 0.0000 0.2214
K: 0.7429 0.2214 0.0000
K: 0.7429 0.7786 0.7786
K: 0.5000 0.6667 0.3333
K: 0.2571 0.0000 0.7786
Rb: 0.7483 0.0000 0.6051
Rb: 0.2517 0.3949 0.0000
Rb: 0.7483 0.6051 0.0000
Rb: 0.2517 0.0000 0.3949
Rb: 0.2517 0.6051 0.6051
Rb: 0.7483 0.3949 0.3949
Pb: 0.5000 0.0000 0.0000

Properties
The space group is No. 162.



Density functional theory data (PBE) for ZrTe2Br after structural relaxation.

Lattice parameters (Å, degrees): 9.4751 9.4751 9.4751 24.69 24.69 24.69
Positions (direct):
Te: 0.1034 0.1034 0.1034
Te: 0.8966 0.8966 0.8966
Br: 0.0000 0.0000 0.0000
Zr: 0.5000 0.5000 0.5000

Properties
For the distance to the lowest polymorph of the same formula, the calculation gives 118 meV/atom. The value obtained for the formation energy without anion corrections is -0.621 eV per atom. The space group is No. 166.



Density functional theory data (PBE) for Mg2ZrTl after structural relaxation.

Lattice parameters (Å, degrees): 4.4010 4.3988 4.5273 90.00 90.00 90.00
Positions (direct):
Mg: 0.0000 0.0000 0.0000
Mg: 0.5000 0.5000 0.0000
Tl: 0.5000 0.0000 0.5000
Zr: 0.0000 0.5000 0.5000

Properties
For the distance to the lowest polymorph of the same formula, the calculation gives 0 meV/atom. The space group is No. 123.



Calculated magnetization in order - 0.70 6.00 0.00 0.00 0.00 0.00 0.00 0.00 Bohr magnetons per cell
Calculated VASP energy in order - -49.995 -50.126 -33.287 -11.150 -62.663 -20.165 -18.989 -14.543 eV for the cell shown
Calculated calculated volume in order - 168.1 394.7 307.1 92.2 342.9 1285.3 130.5 87.6 Å³/cell